(1)
Ce4DyN5: optimized geometry, PBE.

Properties
The calculation puts the density at 8.3 Mg/m³. The calculation puts the total energy at -85.272 eV for the cell shown. Its total magnetization is 1.17 μB per cell. Its offset from the most stable computed form is 4 meV/atom.

Cell lengths 6.1503, 6.1503, 6.1503 Å; angles 99.59, 99.59, 131.82 degrees
Positions (direct):
Ce (0.0998, 0.7008, 0.8006)
Ce (0.2992, 0.0998, 0.3990)
Ce (0.7008, 0.9002, 0.6010)
Ce (0.9002, 0.2992, 0.1994)
Dy (0.5000, 0.5000, 0.0000)
N (0.0000, 0.0000, 0.0000)
N (0.2025, 0.3994, 0.6019)
N (0.3994, 0.7975, 0.1968)
N (0.6006, 0.2025, 0.8032)
N (0.7975, 0.6006, 0.3981)

(2)
CeDyN: optimized geometry, PBE.

Properties
The calculation puts the density at 8.0 Mg/m³. The calculation puts the total energy at -21.703 eV for the cell shown. Its total magnetization is 0.83 μB per cell. Its offset from the most stable computed form is 0 meV/atom.

Cell lengths 3.4770, 3.4770, 6.2623 Å; angles 90.00, 90.00, 120.00 degrees
Positions (direct):
Ce (0.0000, 0.0000, 0.0000)
Dy (0.6667, 0.3333, 0.5611)
N (0.3333, 0.6667, 0.7689)

(3)
CeDyN: optimized geometry, PBE.

Properties
The calculation puts the density at 8.6 Mg/m³. The calculation puts the total energy at -84.268 eV for the cell shown. Its total magnetization is 2.65 μB per cell. Its offset from the most stable computed form is 212 meV/atom.

Cell lengths 6.1572, 3.2707, 12.2051 Å; angles 90.00, 90.00, 90.00 degrees
Positions (direct):
Ce (0.2358, 0.2500, 0.0152)
Ce (0.2642, 0.7500, 0.5152)
Ce (0.7358, 0.2500, 0.4848)
Ce (0.7642, 0.7500, 0.9848)
Dy (0.1291, 0.7500, 0.7724)
Dy (0.3709, 0.2500, 0.2724)
Dy (0.6291, 0.7500, 0.7276)
Dy (0.8709, 0.2500, 0.2276)
N (0.0769, 0.7500, 0.1421)
N (0.4231, 0.2500, 0.6421)
N (0.5769, 0.7500, 0.3579)
N (0.9231, 0.2500, 0.8579)

(4)
CeDy3N4: optimized geometry, PBE.

Properties
The calculation puts the density at 9.4 Mg/m³. The calculation puts the total energy at -132.591 eV for the cell shown. Its total magnetization is 0.12 μB per cell. Its offset from the most stable computed form is 0 meV/atom.

Cell lengths 6.0504, 6.9869, 6.0543 Å; angles 90.00, 109.49, 90.00 degrees
Positions (direct):
Ce (0.0000, 0.1276, 0.2500)
Ce (0.0000, 0.8724, 0.7500)
Dy (0.0000, 0.3769, 0.7500)
Dy (0.0000, 0.6231, 0.2500)
Dy (0.5000, 0.1272, 0.7500)
Dy (0.5000, 0.3773, 0.2500)
Dy (0.5000, 0.6227, 0.7500)
Dy (0.5000, 0.8728, 0.2500)
N (0.2483, 0.1246, 0.0008)
N (0.2483, 0.8754, 0.5008)
N (0.2501, 0.3739, 0.4984)
N (0.2501, 0.6261, 0.9984)
N (0.7499, 0.3739, 0.0016)
N (0.7499, 0.6261, 0.5016)
N (0.7517, 0.1246, 0.4992)
N (0.7517, 0.8754, 0.9992)

(5)
CeDyN: optimized geometry, PBE.

Properties
The calculation puts the density at 5.9 Mg/m³. The calculation puts the total energy at -18.363 eV for the cell shown. Its total magnetization is 0.84 μB per cell. Its offset from the most stable computed form is 1113 meV/atom.

Cell lengths 5.1590, 5.1590, 5.1590 Å; angles 125.07, 125.07, 81.43 degrees
Positions (direct):
Ce (0.0000, 0.0000, 0.0000)
Dy (0.5183, 0.5183, 0.0000)
N (0.2541, 0.2541, 0.0000)

(6)
Ce3Dy2NbN6: optimized geometry, PBE.

Properties
The calculation puts the density at 8.8 Mg/m³. The calculation puts the total energy at -104.988 eV for the cell shown. Its total magnetization is 0.00 μB per cell.

Cell lengths 5.9557, 5.9557, 5.9968 Å; angles 99.53, 99.53, 119.99 degrees
Positions (direct):
Ce (0.0000, 0.0000, 0.0000)
Ce (0.3330, 0.6670, 0.0000)
Ce (0.6670, 0.3330, 0.0000)
Dy (0.1665, 0.8335, 0.5000)
Dy (0.8335, 0.1665, 0.5000)
Nb (0.5000, 0.5000, 0.5000)
N (0.1076, 0.4226, 0.2677)
N (0.2628, 0.2628, 0.7365)
N (0.4226, 0.1076, 0.2677)
N (0.5774, 0.8924, 0.7323)
N (0.7372, 0.7372, 0.2635)
N (0.8924, 0.5774, 0.7323)

(7)
CeDyNbN3: optimized geometry, PBE.

Properties
The calculation puts the density at 7.4 Mg/m³. The calculation puts the total energy at -104.553 eV for the cell shown. Its total magnetization is 0.00 μB per cell.

Cell lengths 7.1881, 3.3582, 8.1678 Å; angles 90.00, 91.23, 90.00 degrees
Positions (direct):
Ce (0.1423, 0.2500, 0.1706)
Ce (0.8577, 0.7500, 0.8294)
Dy (0.3806, 0.7500, 0.8523)
Dy (0.6194, 0.2500, 0.1477)
Nb (0.1308, 0.2500, 0.5749)
Nb (0.8692, 0.7500, 0.4251)
N (0.1378, 0.2500, 0.8399)
N (0.1655, 0.7500, 0.4253)
N (0.3771, 0.7500, 0.1230)
N (0.6229, 0.2500, 0.8770)
N (0.8345, 0.2500, 0.5747)
N (0.8622, 0.7500, 0.1601)

(8)
CeNdDy2N4: optimized geometry, PBE.

Properties
The calculation puts the density at 8.8 Mg/m³. The calculation puts the total energy at -65.690 eV for the cell shown. Its total magnetization is 0.17 μB per cell.

Cell lengths 6.1222, 3.5416, 6.1253 Å; angles 90.00, 109.30, 90.00 degrees
Positions (direct):
Ce (0.0000, 0.0000, 0.0000)
Nd (0.0000, 0.5000, 0.5000)
Dy (0.5000, 0.0000, 0.5000)
Dy (0.5000, 0.5000, 0.0000)
N (0.2541, 0.5000, 0.2452)
N (0.2562, 0.0000, 0.7608)
N (0.7438, 0.0000, 0.2392)
N (0.7459, 0.5000, 0.7548)

Copy entry 6 word for word.
Ce3Dy2NbN6: optimized geometry, PBE.

Properties
The calculation puts the density at 8.8 Mg/m³. The calculation puts the total energy at -104.988 eV for the cell shown. Its total magnetization is 0.00 μB per cell.

Cell lengths 5.9557, 5.9557, 5.9968 Å; angles 99.53, 99.53, 119.99 degrees
Positions (direct):
Ce (0.0000, 0.0000, 0.0000)
Ce (0.3330, 0.6670, 0.0000)
Ce (0.6670, 0.3330, 0.0000)
Dy (0.1665, 0.8335, 0.5000)
Dy (0.8335, 0.1665, 0.5000)
Nb (0.5000, 0.5000, 0.5000)
N (0.1076, 0.4226, 0.2677)
N (0.2628, 0.2628, 0.7365)
N (0.4226, 0.1076, 0.2677)
N (0.5774, 0.8924, 0.7323)
N (0.7372, 0.7372, 0.2635)
N (0.8924, 0.5774, 0.7323)